## RhF (PBE)

Data for a relaxed RhF crystal.

- Energy relative to the elements, uncorrected: -0.539 eV/atom
- Volume: 13.5 Å³/atom
- Magnetic moment: 0.00 μB per formula unit
- Excess energy over the best structure of this formula in the dataset: 0.1178 eV per atom

a = 4.845 Å, b = 6.623 Å, c = 6.708 Å
α = 90.00°, β = 90.00°, γ = 90.00°
Space group P2_12_12_1 (No. 19)
Asymmetric unit:
Rh 0.174 0.208 0.084
Rh 0.246 0.516 0.306
F 0.159 0.016 0.802
F 0.196 0.665 0.047